(1)
Here is Li2RePd2 after structural relaxation from the Alexandria database. Energies are from GGA-PBE.

abc: 7.0071 7.0071 2.7029
angles: 90.00 90.00 90.00
With the nearest neighbours (Å) after each atom.
Space group P4/mbm (No. 127)
Asymmetric unit:
Li 0.1121 0.3879 0.0000  1 Li 2.22, 2 Pd 2.38
Re 0.0000 0.0000 0.0000  2 Re 2.70, 4 Li 2.83, 8 Pd 2.88
Pd 0.1901 0.6901 0.5000  6 Li 2.38-2.57

Results
- Distance to the lowest polymorph of the same formula: 0.0 meV per atom
- Total magnetization: 0.143 μB per atom
- Calculated formation energy: 0.04 kcal/mol of atoms
- Volume: 13.27 A^3/atom


(2)
Here is LiRePd after structural relaxation from the Alexandria database. Energies are from GGA-PBE.

abc: 4.3354 3.4379 6.3068
angles: 90.00 109.76 90.00
With the nearest neighbours (Å) after each atom.
Space group Pm (No. 6)
Asymmetric unit:
Li 0.0000 0.0000 0.0000  2 Pd 2.53, 2 Li 2.58, 4 Re 2.77
Li 0.1593 0.5000 0.3250  2 Li 2.58, 2 Re 2.74, 4 Pd 2.76-2.77
Re 0.3447 0.0000 0.6834  2 Re 2.42
Re 0.4845 0.5000 0.9694  2 Re 2.42
Pd 0.6583 0.0000 0.3217  3 Re 2.71-3.02, 6 Li 2.76-2.89, 2 Pd 2.77
Pd 0.8463 0.5000 0.6877  2 Li 2.53, 6 Re 2.74-2.77, 2 Pd 2.77

Results
- Distance to the lowest polymorph of the same formula: 188.3 meV per atom
- Total magnetization: 0.000 μB per atom
- Calculated formation energy: 2.36 kcal/mol of atoms
- Volume: 14.74 A^3/atom


(3)
Here is LiRePd after structural relaxation from the Alexandria database. Energies are from GGA-PBE.

abc: 2.7454 4.5578 7.1485
angles: 76.86 90.00 89.94
With the nearest neighbours (Å) after each atom.
Space group P1 (No. 1)
Asymmetric unit:
Li 0.0000 0.0000 0.0000  6 Pd 2.62-2.74, 3 Li 2.71-2.75, 2 Re 2.81-2.84
Li 0.0004 0.2552 0.3068  6 Pd 2.64-2.76, 3 Li 2.71-2.75, 3 Re 2.82-2.93
Re 0.5459 0.9666 0.6530  6 Re 2.52-2.81, 2 Pd 2.74-2.75, 2 Li 2.81-2.82
Re 0.9788 0.4544 0.6539  6 Re 2.52-2.81, 4 Pd 2.75-2.79
Pd 0.4908 0.5164 0.9787  6 Li 2.62-2.76, 3 Re 2.74-2.78, 3 Pd 2.75-2.90
Pd 0.4928 0.7435 0.3269  6 Li 2.64-2.74, 3 Pd 2.75-2.90, 3 Re 2.75-2.79

Results
- Distance to the lowest polymorph of the same formula: 73.2 meV per atom
- Total magnetization: 0.000 μB per atom
- Calculated formation energy: -0.30 kcal/mol of atoms
- Volume: 14.52 A^3/atom


(4)
Here is LiRePd after structural relaxation from the Alexandria database. Energies are from GGA-PBE.

abc: 4.2167 4.2167 5.4919
angles: 90.00 90.00 120.00
With the nearest neighbours (Å) after each atom.
Space group P3m1 (No. 156)
Asymmetric unit:
Li 0.0000 0.0000 0.0000  6 Pd 2.58-2.59, 2 Re 2.69-2.80
Li 0.3333 0.6667 0.6791  5 Pd 2.58-2.87, 3 Re 2.65
Re 0.0000 0.0000 0.4896  3 Re 2.56, 5 Li 2.65-2.80
Re 0.6667 0.3333 0.3472  3 Re 2.56, 5 Pd 2.65-2.80
Pd 0.3333 0.6667 0.1573  5 Li 2.58-2.87, 3 Re 2.65
Pd 0.6667 0.3333 0.8370  6 Li 2.58-2.59, 2 Re 2.69-2.80

Results
- Distance to the lowest polymorph of the same formula: 125.8 meV per atom
- Total magnetization: 0.000 μB per atom
- Calculated formation energy: 0.92 kcal/mol of atoms
- Volume: 14.09 A^3/atom


(5)
Here is LiRePd after structural relaxation from the Alexandria database. Energies are from GGA-PBE.

abc: 3.6111 3.6111 6.8243
angles: 90.00 90.00 90.00
With the nearest neighbours (Å) after each atom.
Space group P4/nmm (No. 129, origin choice 2)
Asymmetric unit:
Li 0.2500 0.2500 0.1775  5 Pd 2.48-2.55
Re 0.2500 0.7500 0.5000  4 Re 2.55, 4 Pd 2.80, 4 Li 2.85
Pd 0.2500 0.2500 0.8137  5 Li 2.48-2.55

Results
- Distance to the lowest polymorph of the same formula: 210.3 meV per atom
- Total magnetization: 0.000 μB per atom
- Calculated formation energy: 2.87 kcal/mol of atoms
- Volume: 14.83 A^3/atom


(6)
Here is LiRePd after structural relaxation from the Alexandria database. Energies are from GGA-PBE.

abc: 4.3725 4.3725 4.9694
angles: 90.00 90.00 120.00
With the nearest neighbours (Å) after each atom.
Space group P6_3/mmc (No. 194)
Asymmetric unit:
Li 0.3333 0.6667 0.2500  5 Pd 2.48-2.52
Re 0.0000 0.0000 0.0000  2 Re 2.48
Pd 0.3333 0.6667 0.7500  5 Li 2.48-2.52

Results
- Distance to the lowest polymorph of the same formula: 227.4 meV per atom
- Total magnetization: 0.000 μB per atom
- Calculated formation energy: 3.26 kcal/mol of atoms
- Volume: 13.71 A^3/atom


(7)
Here is LiRePd after structural relaxation from the Alexandria database. Energies are from GGA-PBE.

abc: 4.4529 4.4529 5.3911
angles: 90.00 90.00 120.00
With the nearest neighbours (Å) after each atom.
Space group P-6m2 (No. 187)
Asymmetric unit:
Li 0.0000 0.0000 0.0000  2 Li 2.70, 6 Re 2.81, 6 Pd 2.90
Li 0.0000 0.0000 0.5000  2 Li 2.70, 6 Pd 2.91, 6 Re 3.00
Re 0.6667 0.3333 0.2116  1 Re 2.28
Pd 0.3333 0.6667 0.2489  3 Re 2.58, 2 Pd 2.68-2.71

Results
- Distance to the lowest polymorph of the same formula: 382.3 meV per atom
- Total magnetization: 0.000 μB per atom
- Calculated formation energy: 6.83 kcal/mol of atoms
- Volume: 15.43 A^3/atom


(8)
Here is LiRePd after structural relaxation from the Alexandria database. Energies are from GGA-PBE.

abc: 2.7077 14.8056 4.2893
angles: 90.00 90.00 90.00
With the nearest neighbours (Å) after each atom.
Space group Cmcm (No. 63)
Asymmetric unit:
Li 0.0000 0.1019 0.2500  6 Pd 2.60-2.79, 2 Li 2.71, 2 Re 2.77
Re 0.0000 0.2201 0.7500  6 Re 2.69-2.71, 2 Pd 2.70, 4 Li 2.77-2.96
Pd 0.0000 0.4375 0.2500  6 Li 2.60-2.79, 2 Re 2.70, 4 Pd 2.71-2.83

Results
- Distance to the lowest polymorph of the same formula: 0.0 meV per atom
- Total magnetization: 0.000 μB per atom
- Calculated formation energy: -1.98 kcal/mol of atoms
- Volume: 14.33 A^3/atom


(9)
Here is LiRePd after structural relaxation from the Alexandria database. Energies are from GGA-PBE.

abc: 2.7087 3.9303 8.2133
angles: 90.00 92.39 90.00
With the nearest neighbours (Å) after each atom.
Space group Pm (No. 6)
Asymmetric unit:
Li 0.0000 0.0000 0.0000  3 Li 2.60-2.71, 8 Pd 2.70-2.84, 1 Re 2.88
Li 0.0494 0.0000 0.3165  3 Li 2.60-2.71, 4 Pd 2.62-2.67, 5 Re 2.78-2.86
Re 0.5448 0.5000 0.5002  4 Re 2.50-2.71, 1 Pd 2.64, 2 Li 2.79
Re 0.9083 0.0000 0.6497  4 Re 2.50-2.71, 1 Li 2.78
Pd 0.4569 0.5000 0.8386  4 Li 2.70-2.76, 3 Pd 2.71-2.79, 5 Re 2.80-2.88
Pd 0.5489 0.5000 0.1786  8 Li 2.62-2.84, 1 Re 2.64, 3 Pd 2.71-2.79

Results
- Distance to the lowest polymorph of the same formula: 19.5 meV per atom
- Total magnetization: 0.000 μB per atom
- Calculated formation energy: -1.53 kcal/mol of atoms
- Volume: 14.56 A^3/atom


(10)
Here is LiRePdSe2 after structural relaxation from the Alexandria database. Energies are from GGA-PBE.

abc: 4.7448 4.7448 4.8717
angles: 90.00 90.00 90.00
With the nearest neighbours (Å) after each atom.
Space group P4/mmm (No. 123)
Asymmetric unit:
Li 0.0000 0.0000 0.0000  2 Re 2.44
Re 0.0000 0.0000 0.5000  4 Se 2.37, 2 Li 2.44
Pd 0.5000 0.5000 0.0000  4 Li 3.36, 8 Se 3.40
Se 0.0000 0.5000 0.5000  2 Re 2.37

Results
- Total magnetization: 0.000 μB per atom
- VASP energy: -23.84 eV for the cell shown
- Volume: 21.94 A^3/atom


(11)
Here is LiReSiPd2 after structural relaxation from the Alexandria database. Energies are from GGA-PBE.

abc: 4.4558 4.4558 4.3246
angles: 90.00 90.00 90.00
With the nearest neighbours (Å) after each atom.
Space group P4/mmm (No. 123)
Asymmetric unit:
Li 0.0000 0.0000 0.0000  2 Si 2.16
Re 0.5000 0.5000 0.0000  8 Pd 3.10, 4 Li 3.15
Si 0.0000 0.0000 0.5000  2 Li 2.16, 4 Pd 2.23
Pd 0.0000 0.5000 0.5000  2 Si 2.23

Results
- Distance to the lowest polymorph of the same formula: 0.0 meV per atom
- Total magnetization: 0.624 μB per atom
- Volume: 17.17 A^3/atom


(12)
Here is LiReSiPd2 after structural relaxation from the Alexandria database. Energies are from GGA-PBE.

abc: 4.7712 4.7712 4.6388
angles: 90.00 90.00 90.00
With the nearest neighbours (Å) after each atom.
Space group P4/mmm (No. 123)
Asymmetric unit:
Li 0.0000 0.0000 0.0000  2 Re 2.32
Re 0.0000 0.0000 0.5000  2 Li 2.32, 4 Pd 2.39
Si 0.5000 0.5000 0.0000  8 Pd 3.33, 4 Li 3.37
Pd 0.0000 0.5000 0.5000  2 Re 2.39

Results
- Distance to the lowest polymorph of the same formula: 542.8 meV per atom
- Total magnetization: 0.000 μB per atom
- Volume: 21.12 A^3/atom


> What is the volume in the second record?

14.74 A^3/atom


> Among the records above, which one has the highest total magnetization?

number 11